17
Lattice="-4.5599 4.5599 4.5599 4.5599 -4.5599 4.5599 4.5599 4.5599 -4.5599" Properties=species:S:1:pos:R:3 comment="CaBi4Pd12 | Alexandria via LeMat-Bulk | GGA-PBE | optimized geometry" crystal_system=cubic delta_e_f_ev_per_atom=0.0602 spacegroup=Im-3 pbc="T T T"
Ca 0.0000 0.0000 0.0000
Bi 2.2799 2.2799 -2.2799
Bi 2.2799 -2.2799 2.2799
Bi -2.2799 2.2799 2.2799
Bi 2.2799 2.2799 2.2799
Pd 3.2354 0.0000 1.3475
Pd 5.8844 0.0000 1.3475
Pd 4.5599 3.2124 -1.3245
Pd 1.3475 3.2354 0.0000
Pd 3.2124 -1.3245 4.5599
Pd 4.5599 3.2124 1.3245
Pd 0.0000 1.3475 3.2354
Pd 1.3475 5.8844 0.0000
Pd 3.2124 1.3245 4.5599
Pd 0.0000 1.3475 5.8844
Pd -1.3245 4.5599 3.2124
Pd 1.3245 4.5599 3.2124



4
Lattice="-2.0431 2.0431 5.0557 2.0431 -2.0431 5.0557 2.0431 2.0431 -5.0557" Properties=species:S:1:pos:R:3 comment="ScTe2Ir | Alexandria via LeMat-Bulk | GGA-PBE | optimized geometry" crystal_system=tetragonal e_form_raw_mev_per_atom=-199 spacegroup=I-4m2 relative_energy_kj_per_mol_atoms=46.7 pbc="T T T"
Sc 0.0000 0.0000 0.0000
Te 2.0431 0.0000 2.5279
Te 0.0000 0.0000 5.0557
Ir 0.0000 2.0431 2.5279



20
Lattice="4.8147 -7.4422 0.0000 4.8147 7.4422 0.0000 0.0000 0.0000 9.2952" Properties=species:S:1:pos:R:3 comment="Tb3Nd6Mg | Alexandria via LeMat-Bulk | GGA-PBE | optimized geometry" crystal_system=orthorhombic delta_e_f_ev_per_atom=0.1108 spacegroup=Cmc2_1 relative_energy_kj_per_mol_atoms=0.0 pbc="T T T"
Tb 4.8147 6.9400 4.6476
Tb 3.1068 2.1469 0.1504
Tb 3.1068 -2.1469 4.7980
Tb 6.5226 2.1469 0.1504
Tb 6.5226 -2.1469 4.7980
Tb 4.8147 -6.9400 0.0000
Nd 1.6839 2.3209 3.1306
Nd 4.8147 4.4315 2.0809
Nd 2.7205 1.1322 6.2600
Nd 1.6839 -2.3209 7.7782
Nd 2.7205 -1.1322 1.6124
Nd 4.8147 0.9111 3.3057
Nd 4.8147 -0.9111 7.9533
Nd 6.9088 1.1322 6.2600
Nd 7.9454 2.3209 3.1306
Nd 6.9088 -1.1322 1.6124
Nd 4.8147 -4.4315 6.7285
Nd 7.9454 -2.3209 7.7782
Mg 4.8147 3.6292 5.2902
Mg 4.8147 -3.6292 0.6426



5
Lattice="4.5960 0.0000 0.0000 0.0000 4.5960 0.0000 0.0000 0.0000 4.4885" Properties=species:S:1:pos:R:3 comment="NaTaSbOs2 | Alexandria via LeMat-Bulk | GGA-PBE | optimized geometry" crystal_system=tetragonal e_form_raw_mev_per_atom=2500 spacegroup=P4/mmm pbc="T T T"
Na 0.0000 0.0000 0.0000
Ta 0.0000 0.0000 2.2442
Sb 2.2980 2.2980 2.2442
Os 0.0000 2.2980 0.0000
Os 2.2980 0.0000 0.0000



5
Lattice="4.8629 0.0000 0.0000 0.0000 4.8629 0.0000 0.0000 0.0000 4.8629" Properties=species:S:1:pos:R:3 comment="Tc3NiHg | Alexandria via LeMat-Bulk | GGA-PBE | optimized geometry" crystal_system=cubic delta_e_f_ev_per_atom=3.0061 spacegroup=Pm-3m relative_energy_kj_per_mol_atoms=151.6 pbc="T T T"
Tc 0.0000 0.0000 2.4315
Tc 0.0000 2.4315 0.0000
Tc 2.4315 0.0000 0.0000
Ni 2.4315 2.4315 2.4315
Hg 0.0000 0.0000 0.0000



5
Lattice="3.7351 0.0000 0.0000 0.0000 3.7351 0.0000 0.0000 0.0000 3.7351" Properties=species:S:1:pos:R:3 comment="MgB3O | Alexandria via LeMat-Bulk | GGA-PBE | optimized geometry" crystal_system=cubic e_form_raw_mev_per_atom=1575 spacegroup=Pm-3m relative_energy_kj_per_mol_atoms=0.0 pbc="T T T"
Mg 0.0000 0.0000 0.0000
B 0.0000 1.8676 1.8676
B 1.8676 0.0000 1.8676
B 1.8676 1.8676 0.0000
O 1.8676 1.8676 1.8676



4
Lattice="3.0286 0.0000 0.0000 -1.5143 2.6228 0.0000 0.0000 0.0000 9.1147" Properties=species:S:1:pos:R:3 comment="As3Rh | Alexandria via LeMat-Bulk | GGA-PBE | optimized geometry" crystal_system=hexagonal delta_e_f_ev_per_atom=0.0974 spacegroup=P-6m2 relative_energy_kj_per_mol_atoms=52.1 pbc="T T T"
As 0.0000 0.0000 0.0000
As 0.0000 1.7486 2.6542
As 0.0000 1.7486 6.4605
Rh 0.0000 0.0000 4.5574



12
Lattice="3.0488 -5.2826 0.0000 3.0488 5.2826 0.0000 -2.0322 0.0000 5.7112" Properties=species:S:1:pos:R:3 comment="TbCe2Pu3N6 | Alexandria via LeMat-Bulk | GGA-PBE | optimized geometry" crystal_system=monoclinic e_form_raw_mev_per_atom=-1407 spacegroup=C2/m pbc="T T T"
Tb 0.0000 0.0000 0.0000
Ce 3.0488 1.7610 0.0000
Ce 3.0488 -1.7610 0.0000
Pu 2.0327 3.5261 2.8556
Pu 2.0327 0.0000 2.8556
Pu 2.0327 -3.5261 2.8556
N 1.0073 1.7450 1.4892
N -0.0187 0.0000 4.2142
N 1.0073 -1.7450 1.4892
N 3.0580 1.7450 4.2219
N 4.0840 0.0000 1.4970
N 3.0580 -1.7450 4.2219